No. 1
# GGA-PBE Ce8HgC4, relaxed
data_Ce8HgC4
_chemical_formula_sum 'Ce32 Hg4 C16'
_symmetry_space_group_name_H-M 'F -4 3 m'
_symmetry_Int_Tables_number 216
_symmetry_space_group_name_Hall 'F -4 2 3'
_cell_length_a 10.909
_cell_length_b 10.909
_cell_length_c 10.909
_cell_angle_alpha 90.00
_cell_angle_beta 90.00
_cell_angle_gamma 90.00
loop_
_atom_site_label
_atom_site_fract_x
_atom_site_fract_y
_atom_site_fract_z
Ce1 0.099 0.099 0.401
Ce2 0.135 0.135 0.865
Hg1 0.250 0.250 0.250
C1 0.137 0.137 0.637
# uncorrected energy	-336.5	eV/cell

No. 2
# GGA-PBE Ce4HgC, relaxed
data_Ce4HgC
_chemical_formula_sum 'Ce16 Hg4 C4'
_symmetry_space_group_name_H-M 'C 1 2/c 1'
_symmetry_Int_Tables_number 15
_symmetry_space_group_name_Hall '-C 2yc'
_cell_length_a 8.199
_cell_length_b 12.842
_cell_length_c 6.454
_cell_angle_alpha 90.00
_cell_angle_beta 118.44
_cell_angle_gamma 90.00
loop_
_atom_site_label
_atom_site_fract_x
_atom_site_fract_y
_atom_site_fract_z
Ce1 0.138 0.221 0.196
Ce2 0.209 0.065 0.694
Hg1 0.000 0.385 0.750
C1 0.000 0.057 0.250
# relative energy among the computed polymorphs	0	meV per atom

No. 3
# GGA-PBE Ce4HgC, relaxed
data_Ce4HgC
_chemical_formula_sum 'Ce8 Hg2 C2'
_symmetry_space_group_name_H-M 'P -1'
_symmetry_Int_Tables_number 2
_symmetry_space_group_name_Hall '-P 1'
_cell_length_a 6.284
_cell_length_b 6.494
_cell_length_c 7.783
_cell_angle_alpha 74.35
_cell_angle_beta 73.98
_cell_angle_gamma 73.02
loop_
_atom_site_label
_atom_site_fract_x
_atom_site_fract_y
_atom_site_fract_z
Ce1 0.012 0.039 0.271
Ce2 0.237 0.485 0.529
Ce3 0.420 0.233 0.835
Ce4 0.459 0.850 0.727
Hg1 0.154 0.579 0.105
C1 0.319 0.848 0.453
# relative energy among the computed polymorphs	33	meV per atom

No. 4
# GGA-PBE Ce2HoHgC, relaxed
data_Ce2HoHgC
_chemical_formula_sum 'Ce2 Ho1 Hg1 C1'
_symmetry_space_group_name_H-M 'P 4/m m m'
_symmetry_Int_Tables_number 123
_symmetry_space_group_name_Hall '-P 4 2'
_cell_length_a 4.931
_cell_length_b 4.931
_cell_length_c 4.931
_cell_angle_alpha 90.00
_cell_angle_beta 90.00
_cell_angle_gamma 90.00
loop_
_atom_site_label
_atom_site_fract_x
_atom_site_fract_y
_atom_site_fract_z
Ce1 0.000 0.500 0.000
Ho1 0.000 0.000 0.500
Hg1 0.500 0.500 0.500
C1 0.000 0.000 0.000
# uncorrected energy	-27.3	eV/cell

No. 5
# GGA-PBE La2CeHgC, relaxed
data_La2CeHgC
_chemical_formula_sum 'La2 Ce1 Hg1 C1'
_symmetry_space_group_name_H-M 'P 4/m m m'
_symmetry_Int_Tables_number 123
_symmetry_space_group_name_Hall '-P 4 2'
_cell_length_a 5.258
_cell_length_b 5.258
_cell_length_c 4.877
_cell_angle_alpha 90.00
_cell_angle_beta 90.00
_cell_angle_gamma 90.00
loop_
_atom_site_label
_atom_site_fract_x
_atom_site_fract_y
_atom_site_fract_z
La1 0.000 0.500 0.000
Ce1 0.000 0.000 0.500
Hg1 0.500 0.500 0.500
C1 0.000 0.000 0.000
# uncorrected energy	-26.5	eV/cell

No. 6
# GGA-PBE CeNd2HgC, relaxed
data_CeNd2HgC
_chemical_formula_sum 'Ce1 Nd2 Hg1 C1'
_symmetry_space_group_name_H-M 'P 4/m m m'
_symmetry_Int_Tables_number 123
_symmetry_space_group_name_Hall '-P 4 2'
_cell_length_a 5.163
_cell_length_b 5.163
_cell_length_c 4.855
_cell_angle_alpha 90.00
_cell_angle_beta 90.00
_cell_angle_gamma 90.00
loop_
_atom_site_label
_atom_site_fract_x
_atom_site_fract_y
_atom_site_fract_z
Ce1 0.000 0.000 0.000
Nd1 0.000 0.500 0.500
Hg1 0.500 0.500 0.000
C1 0.000 0.000 0.500
# uncorrected energy	-26.1	eV/cell

No. 7
# GGA-PBE CeHgC2O6, relaxed
data_CeHgC2O6
_chemical_formula_sum 'Ce4 Hg4 C8 O24'
_symmetry_space_group_name_H-M 'C 1 2/c 1'
_symmetry_Int_Tables_number 15
_symmetry_space_group_name_Hall '-C 2yc'
_cell_length_a 9.233
_cell_length_b 9.080
_cell_length_c 8.134
_cell_angle_alpha 90.00
_cell_angle_beta 114.74
_cell_angle_gamma 90.00
loop_
_atom_site_label
_atom_site_fract_x
_atom_site_fract_y
_atom_site_fract_z
Ce1 0.000 0.067 0.250
Hg1 0.000 0.446 0.750
C1 0.212 0.163 0.723
O1 0.108 0.107 0.571
O2 0.189 0.237 0.273
O3 0.207 0.111 0.868
# uncorrected formation energy	-1.762	eV per atom

No. 8
# GGA-PBE CePaHgC, relaxed
data_CePaHgC
_chemical_formula_sum 'Ce3 Pa3 Hg3 C3'
_symmetry_space_group_name_H-M 'R 3 m'
_symmetry_Int_Tables_number 160
_symmetry_space_group_name_Hall 'R 3 -2"'
_cell_length_a 3.5056
_cell_length_b 3.5056
_cell_length_c 24.7629
_cell_angle_alpha 90.00
_cell_angle_beta 90.00
_cell_angle_gamma 120.00
loop_
_atom_site_label
_atom_site_fract_x
_atom_site_fract_y
_atom_site_fract_z
Ce1 0.0000 0.0000 0.0000
Pa1 0.0000 0.0000 0.7830
Hg1 0.0000 0.0000 0.2236
C1 0.0000 0.0000 0.3956
# uncorrected energy	-78.1	eV/cell